## w
DFT (PBE) results for an optimized crystal structure of VMoSe3.

Geometry as extended XYZ:
```
5
Lattice="5.266 0.000 0.000 0.000 3.273 0.000 -2.347 0.000 5.903" Properties=species:S:1:pos:R:3 pbc="T T T"
V 0.000 0.000 0.000
Mo -0.967 1.636 4.201
Se 1.594 1.636 0.829
Se 1.695 1.636 4.485
Se 4.223 0.000 2.300
```

Output
- space group = Pm



## x
DFT (PBE) results for an optimized crystal structure of VMoSe3.

Geometry as extended XYZ:
```
5
Lattice="4.927 0.000 0.000 0.000 4.927 0.000 0.000 0.000 4.927" Properties=species:S:1:pos:R:3 pbc="T T T"
V 0.000 0.000 0.000
Mo 2.464 2.464 2.464
Se 0.000 2.464 2.464
Se 2.464 0.000 2.464
Se 2.464 2.464 0.000
```

Output
- space group = Pm-3m



It is w that is the most stable of them.



## w
DFT (PBE) results for an optimized crystal structure of MoWSe.

Geometry as extended XYZ:
```
3
Lattice="0.000 2.425 6.549 1.639 0.000 6.549 1.639 2.425 0.000" Properties=species:S:1:pos:R:3 pbc="T T T"
Mo 0.000 0.000 0.000
W 1.639 2.425 8.470
Se 1.639 2.425 4.219
```

Output
- space group = Fmm2



## x
DFT (PBE) results for an optimized crystal structure of MoWSe.

Geometry as extended XYZ:
```
3
Lattice="0.000 3.025 3.025 3.025 0.000 3.025 3.025 3.025 0.000" Properties=species:S:1:pos:R:3 pbc="T T T"
Mo 0.000 0.000 0.000
W 4.537 4.537 4.537
Se 1.512 1.512 1.512
```

Output
- space group = F-43m



It is w that is the most stable of them.



## w
DFT (PBE) results for an optimized crystal structure of MoWSe.

Geometry as extended XYZ:
```
3
Lattice="2.978 0.000 0.000 -1.489 2.579 0.000 0.000 0.000 6.360" Properties=species:S:1:pos:R:3 pbc="T T T"
Mo 0.000 0.000 0.000
W 1.489 0.860 4.162
Se 0.000 1.719 2.084
```

Output
- space group = P3m1



## x
DFT (PBE) results for an optimized crystal structure of MoWSe.

Geometry as extended XYZ:
```
3
Lattice="-1.509 1.509 5.193 1.509 -1.509 5.193 1.509 1.509 -5.193" Properties=species:S:1:pos:R:3 pbc="T T T"
Mo 0.000 0.000 0.000
W 0.000 0.000 7.101
Se 0.000 0.000 3.559
```

Output
- space group = I4mm



## y
DFT (PBE) results for an optimized crystal structure of MoWSe.

Geometry as extended XYZ:
```
3
Lattice="4.341 0.000 0.000 -2.171 3.759 0.000 0.000 0.000 2.979" Properties=species:S:1:pos:R:3 pbc="T T T"
Mo 0.000 0.000 0.000
W 0.000 2.506 1.490
Se 2.171 1.253 1.490
```

Output
- space group = P-6m2



It is x that is the most stable of them.



## w
DFT (PBE) results for an optimized crystal structure of MoWSe3.

Geometry as extended XYZ:
```
10
Lattice="3.273 -7.071 0.000 3.273 7.071 0.000 0.000 0.000 5.389" Properties=species:S:1:pos:R:3 pbc="T T T"
Mo 3.273 6.999 2.695
Mo 3.273 -6.999 0.000
W 3.273 0.002 0.137
W 3.273 -0.002 2.832
Se 3.273 4.920 1.426
Se 1.714 1.546 1.556
Se 1.714 -1.546 4.251
Se 4.832 1.546 1.556
Se 4.832 -1.546 4.251
Se 3.273 -4.920 4.120
```

Output
- space group = Cmc2_1



## x
DFT (PBE) results for an optimized crystal structure of MoWSe3.

Geometry as extended XYZ:
```
5
Lattice="4.932 0.000 0.000 0.000 4.932 0.000 0.000 0.000 4.932" Properties=species:S:1:pos:R:3 pbc="T T T"
Mo 0.000 0.000 0.000
W 2.466 2.466 2.466
Se 0.000 2.466 2.466
Se 2.466 0.000 2.466
Se 2.466 2.466 0.000
```

Output
- space group = Pm-3m



It is w that is the most stable of them.



## w
DFT (PBE) results for an optimized crystal structure of MoW3Se.

Geometry as extended XYZ:
```
5
Lattice="4.546 0.000 0.000 0.000 4.546 0.000 0.000 0.000 4.546" Properties=species:S:1:pos:R:3 pbc="T T T"
Mo 0.000 0.000 0.000
W 0.000 2.273 2.273
W 2.273 0.000 2.273
W 2.273 2.273 0.000
Se 2.273 2.273 2.273
```

Output
- space group = Pm-3m



## x
DFT (PBE) results for an optimized crystal structure of MoW3Se.

Geometry as extended XYZ:
```
5
Lattice="4.768 0.000 0.000 0.000 4.768 0.000 0.000 0.000 4.768" Properties=species:S:1:pos:R:3 pbc="T T T"
Mo 0.000 0.000 0.000
W 0.000 0.000 2.384
W 0.000 2.384 0.000
W 2.384 0.000 0.000
Se 2.384 2.384 2.384
```

Output
- space group = Pm-3m



It is w that is the most stable of them.



## w
DFT (PBE) results for an optimized crystal structure of Mo3WSe.

Geometry as extended XYZ:
```
5
Lattice="4.787 0.000 0.000 0.000 4.787 0.000 0.000 0.000 4.787" Properties=species:S:1:pos:R:3 pbc="T T T"
Mo 0.000 0.000 2.394
Mo 0.000 2.394 0.000
Mo 2.394 0.000 0.000
W 0.000 0.000 0.000
Se 2.394 2.394 2.394
```

Output
- space group = Pm-3m



## x
DFT (PBE) results for an optimized crystal structure of Mo3WSe.

Geometry as extended XYZ:
```
5
Lattice="4.529 0.000 0.000 0.000 4.529 0.000 0.000 0.000 4.529" Properties=species:S:1:pos:R:3 pbc="T T T"
Mo 0.000 0.000 2.264
Mo 0.000 2.264 0.000
Mo 2.264 0.000 0.000
W 2.264 2.264 2.264
Se 0.000 0.000 0.000
```

Output
- space group = Pm-3m



It is x that is the most stable of them.